FeNi2Ir: single point on PBEsol structure, SCAN.

Results
Formation enthalpy at 0 K ... -0.0965 eV per atom
Crystal system ... tetragonal
Total magnetic moment ... 0.6860 μB per atom
Symmetry ... I-4m2 (119)

Cell lengths 3.608, 3.608, 4.352 Å; angles 114.49, 114.49, 90.00 degrees
Each line ends with the local moment (μB).
Atoms (fractional coordinates):
1 Fe 0.500 0.500 0.000  3.03
2 Ni 0.000 0.000 0.000  -0.48
3 Ni 0.750 0.250 0.500  0.22
4 Ir 0.250 0.750 0.500  0.03



SbCl4F: single point on PBEsol structure, SCAN.

Results
Crystal system ... tetragonal
Total magnetic moment ... 0.0000 μB per atom
Symmetry ... I-4 (82)
Formation energy (no corrections) ... -1.0538 eV/atom

Cell lengths 7.828, 10.154, 10.154 Å; angles 81.46, 67.33, 67.33 degrees
Atoms (fractional coordinates):
1 Cl 0.419 0.695 0.591
2 Cl 0.223 0.826 0.264
3 Cl 0.145 0.211 0.124
4 Cl 0.951 0.736 0.826
5 Cl 0.886 0.409 0.695
6 Cl 0.744 0.916 0.500
7 Cl 0.161 0.084 0.500
8 Cl 0.481 0.789 0.876
9 Cl 0.339 0.500 0.916
10 Cl 0.990 0.591 0.305
11 Cl 0.730 0.124 0.789
12 Cl 0.644 0.876 0.211
13 Cl 0.705 0.305 0.409
14 Cl 0.756 0.500 0.084
15 Cl 0.313 0.174 0.736
16 Cl 0.513 0.264 0.174
17 F 0.918 0.197 0.954
18 F 0.884 0.046 0.197
19 F 0.070 0.803 0.046
20 F 0.128 0.954 0.803
21 Sb 0.921 0.833 0.269
22 Sb 0.022 0.167 0.731
23 Sb 0.246 0.731 0.833
24 Sb 0.811 0.269 0.167



HfFeTe2S: single point on PBEsol structure, SCAN.

Results
Crystal system ... tetragonal
Total magnetic moment ... 0.2740 μB per atom
Symmetry ... P4/mmm (123)
Formation energy (no corrections) ... 0.4548 eV/atom

Cell lengths 4.725, 4.725, 4.899 Å; angles 90.00, 90.00, 90.00 degrees
Each line ends with the local moment (μB).
Atoms (fractional coordinates):
1 Te 0.000 0.500 0.000  0.10
2 Te 0.500 0.000 0.000  0.10
3 Hf 0.000 0.000 0.500  -0.21
4 S 0.500 0.500 0.500  0.04
5 Fe 0.000 0.000 0.000  1.28



Ta2CuRh: single point on PBEsol structure, SCAN.

Results
Formation enthalpy at 0 K ... -0.2328 eV per atom
Crystal system ... orthorhombic
Total magnetic moment ... 0.0000 μB per atom
Symmetry ... Cmmm (65)

Cell lengths 2.806, 4.768, 4.768 Å; angles 110.15, 89.98, 89.98 degrees
Atoms (fractional coordinates):
1 Ta 0.000 0.000 0.500
2 Ta 0.000 0.500 0.000
3 Cu 0.500 0.500 0.500
4 Rh 0.500 0.000 0.000



YSc2In: single point on PBEsol structure, SCAN.

Results
Formation enthalpy at 0 K ... -0.2919 eV per atom
Crystal system ... orthorhombic
Total magnetic moment ... 0.1197 μB per atom
Symmetry ... Pmm2 (25)

Cell lengths 3.419, 4.441, 6.399 Å; angles 90.00, 90.00, 90.00 degrees
Each line ends with the local moment (μB).
Atoms (fractional coordinates):
1 In 0.500 0.500 0.760  -0.01
2 Y 0.000 0.000 0.502  0.12
3 Sc 0.000 0.000 0.001  0.13
4 Sc 0.500 0.500 0.237  0.08



Os2RhAu: single point on PBEsol structure, SCAN.

Results
Formation enthalpy at 0 K ... 0.7049 eV per atom
Crystal system ... monoclinic
Total magnetic moment ... 0.0001 μB per atom
Symmetry ... C2/m (12)

Cell lengths 2.727, 4.596, 5.432 Å; angles 114.84, 104.25, 90.65 degrees
Atoms (fractional coordinates):
1 Os 0.500 0.500 0.500
2 Os 0.000 0.000 0.500
3 Rh 0.000 0.500 0.000
4 Au 0.500 0.000 0.000